This record from Alexandria describes an optimized crystal structure of ZrCr2TcO8. The functional is PBE with a Hubbard U.

Results
calculated volume = 137 Å³/f.u.
crystal system = orthorhombic
uncorrected energy = -8.144 eV per atom

Cell lengths 6.5829, 6.6754, 6.2204 Å; angles 90.00, 90.00, 90.00 degrees
Space group Cmmm (No. 65)
Unique sites:
Zr  0.0000  0.0000  0.0000
Cr  0.0000  0.5000  0.2510
Tc  0.0000  0.0000  0.5000
O  0.0000  0.1977  0.2689
O  0.1875  0.5000  0.0000
O  0.2072  0.5000  0.5000